Computed, not measured: a relaxed Na3HfIn3Se8 crystal at the PBE-GGA level of DFT.

Summary:
Space-group type: R-3m, No. 166
Formation energy without anion corrections: -0.8907 eV/atom
Total moment: 0.0 μB per formula unit

Unit cell a=7.9629 b=7.9675 c=8.5159 alpha=117.95 beta=90.00 gamma=119.98
With the nearest neighbours (Å) after each atom.
Element x y z (fractional)
In (0.5000, 0.0000, 0.5000)  6 Se 2.76-2.81
In (0.0000, 0.5000, 0.5000)  6 Se 2.76-2.81
In (0.5000, 0.5000, 0.5000)  6 Se 2.76-2.81
Na (0.5000, 0.5000, 0.0000)  6 Se 3.03-3.08
Na (0.0000, 0.0000, 0.0000)  6 Se 3.03-3.08
Na (0.0000, 0.5000, 0.0000)  6 Se 3.03-3.08
Se (0.7505, 0.9845, 0.7182)  1 Hf 2.72, 2 In 2.81, 2 Na 3.03
Se (0.2340, 0.9845, 0.7182)  1 Hf 2.72, 2 In 2.81, 2 Na 3.03
Se (0.7661, 0.5322, 0.2817)  1 Hf 2.72, 2 In 2.81, 2 Na 3.03
Se (0.7381, 0.4762, 0.7139)  3 In 2.76, 3 Na 3.08
Se (0.7660, 0.0155, 0.2818)  1 Hf 2.72, 2 In 2.81, 2 Na 3.03
Se (0.2619, 0.5238, 0.2861)  3 In 2.76, 3 Na 3.08
Se (0.2495, 0.0155, 0.2818)  1 Hf 2.72, 2 In 2.81, 2 Na 3.03
Se (0.2339, 0.4678, 0.7183)  1 Hf 2.72, 2 In 2.81, 2 Na 3.03
Hf (0.0000, 0.0000, 0.5000)  6 Se 2.72